Record 1
The following is a GGA-PBE calculation of crystalline CsBNF2 at its relaxed geometry, from Alexandria via LeMat-Bulk.

Structure (extended XYZ):
```
5
Lattice="5.306 0.000 0.000 0.000 5.306 0.000 0.000 0.000 4.825" Properties=species:S:1:pos:R:3 pbc="T T T"
Cs 0.000 0.000 0.000
B 2.653 2.653 2.413
N 0.000 0.000 2.413
F 0.000 2.653 0.000
F 2.653 0.000 0.000
```

Results
Energy (eV/atom): -2.75
Space group: P4/mmm (123)

***

Record 2
The following is a GGA-PBE calculation of crystalline Cs2TeI at its relaxed geometry, from Alexandria via LeMat-Bulk.

Structure (extended XYZ):
```
8
Lattice="10.234 0.000 0.000 0.000 10.234 0.000 5.117 5.117 4.798" Properties=species:S:1:pos:R:3 pbc="T T T"
Cs 7.714 2.558 1.200
Cs 2.520 7.675 1.200
Cs 7.675 7.637 3.599
Cs 12.792 12.831 3.599
I 0.000 0.000 0.000
I 10.234 5.117 2.399
Te 5.117 5.117 0.000
Te 5.117 10.234 2.399
```

Results
Energy (eV/atom): -2.51
Space group: I-42d (122)

***

Record 3
The following is a GGA-PBE calculation of crystalline Pr7Bi2Pb2 at its relaxed geometry, from Alexandria via LeMat-Bulk.

Structure (extended XYZ):
```
11
Lattice="7.484 -0.003 -0.665 0.003 7.363 0.003 -1.130 -0.003 7.428" Properties=species:S:1:pos:R:3 pbc="T T T"
Pr 6.918 2.103 3.053
Pr 2.618 5.252 7.096
Pr -0.560 5.254 3.714
Pr 3.740 2.106 -0.330
Pr 0.000 0.000 0.000
Pr 3.182 5.435 3.382
Pr 3.176 1.922 3.384
Bi 5.121 7.360 1.561
Bi 1.236 -0.003 5.205
Pb 5.212 3.677 5.547
Pb 1.146 3.680 1.220
```

Results
Space group: Cmmm (65)
DFT formation energy (kcal/mol of atoms): -6.81

***

Record 4
The following is a GGA-PBE calculation of crystalline Sm7Y3Er at its relaxed geometry, from Alexandria via LeMat-Bulk.

Structure (extended XYZ):
```
11
Lattice="4.771 -0.111 -2.974 -1.101 9.735 -2.132 -1.066 -0.795 8.955" Properties=species:S:1:pos:R:3 pbc="T T T"
Sm 2.468 7.244 3.690
Sm 2.916 6.501 -0.880
Sm 2.664 3.284 -1.166
Sm -0.060 5.546 5.014
Sm 1.853 -0.453 2.991
Sm -0.312 2.329 4.729
Sm 0.136 1.586 0.159
Y 0.501 -0.640 6.147
Y -0.551 4.868 -1.066
Y 2.104 9.470 -2.298
Er 1.302 4.415 1.924
```

Results
Space group: P2/m (10)
DFT formation energy (kcal/mol of atoms): 2.98

***

Record 5
The following is a GGA-PBE calculation of crystalline Pu3PaGa4 at its relaxed geometry, from Alexandria via LeMat-Bulk.

Structure (extended XYZ):
```
8
Lattice="4.404 0.000 0.000 0.000 4.391 0.000 0.000 0.000 8.761" Properties=species:S:1:pos:R:3 pbc="T T T"
Pa 2.202 2.195 0.000
Ga 0.000 0.000 4.380
Ga 0.000 2.195 6.539
Ga 0.000 0.000 0.000
Ga 0.000 2.195 2.221
Pu 2.202 0.000 2.070
Pu 2.202 2.195 4.380
Pu 2.202 0.000 6.690
```

Results
Space group: Pmmm (47)
DFT formation energy (kcal/mol of atoms): -6.49

***

Record 6
The following is a GGA-PBE calculation of crystalline Ga2SnBi2 at its relaxed geometry, from Alexandria via LeMat-Bulk.

Structure (extended XYZ):
```
10
Lattice="9.054 0.000 0.000 0.000 9.054 0.000 0.000 0.000 3.384" Properties=species:S:1:pos:R:3 pbc="T T T"
Bi 2.867 7.394 0.000
Bi 7.394 6.187 0.000
Bi 6.187 1.660 0.000
Bi 1.660 2.867 0.000
Ga 1.019 5.546 1.692
Ga 5.546 8.035 1.692
Ga 8.035 3.508 1.692
Ga 3.508 1.019 1.692
Sn 0.000 0.000 0.000
Sn 4.527 4.527 0.000
```

Results
Space group: P4/mbm (127)
DFT formation energy (kcal/mol of atoms): 2.33

***

Record 7
The following is a GGA-PBE calculation of crystalline PrZn2Ru at its relaxed geometry, from Alexandria via LeMat-Bulk.

Structure (extended XYZ):
```
4
Lattice="4.310 0.000 0.000 2.155 3.732 0.000 2.155 1.244 5.087" Properties=species:S:1:pos:R:3 pbc="T T T"
Pr 0.000 0.000 0.000
Ru 4.310 2.488 2.543
Zn 6.464 3.732 3.138
Zn 2.155 1.244 1.949
```

Results
Space group: R-3m (166)
DFT formation energy (kcal/mol of atoms): -3.05

***

Record 8
The following is a GGA-PBE calculation of crystalline KCd11 at its relaxed geometry, from Alexandria via LeMat-Bulk.

Structure (extended XYZ):
```
24
Lattice="2.773 -3.543 6.497 0.205 -9.484 -0.453 9.387 -1.443 0.012" Properties=species:S:1:pos:R:3 pbc="T T T"
K 1.387 -1.771 3.248
K 5.490 -6.350 1.404
Cd 5.263 -9.963 2.427
Cd 7.388 -4.872 4.297
Cd 0.000 0.000 0.000
Cd 6.876 -8.121 4.652
Cd 8.234 -9.524 2.106
Cd 4.927 -10.574 5.348
Cd 9.518 -6.553 5.581
Cd 4.825 -5.832 5.575
Cd 9.037 -6.658 2.618
Cd 8.751 -7.734 -0.249
Cd 2.513 -5.330 3.725
Cd 3.614 -8.177 4.106
Cd 9.939 -9.370 4.573
Cd 2.142 -4.737 0.815
Cd 8.876 -4.693 0.367
Cd 1.818 -7.642 1.772
Cd 7.226 -2.906 2.046
Cd 7.718 -11.315 4.460
Cd 4.363 -2.791 0.928
Cd 3.468 -9.429 0.093
Cd 6.530 -9.679 -0.362
Cd 4.735 -3.384 3.837
```

Results
Space group: I4_1/amd (141)
DFT formation energy (kcal/mol of atoms): -1.73

***

Record 9
The following is a GGA-PBE calculation of crystalline RbBa2Cl2 at its relaxed geometry, from Alexandria via LeMat-Bulk.

Structure (extended XYZ):
```
5
Lattice="5.682 0.000 0.000 0.000 5.682 0.000 2.841 2.841 7.722" Properties=species:S:1:pos:R:3 pbc="T T T"
Ba 2.841 2.841 2.381
Ba 5.682 5.682 5.341
Rb 0.000 0.000 0.000
Cl 5.682 2.841 3.861
Cl 2.841 5.682 3.861
```

Results
Energy (eV/atom): -3.08
Space group: I4/mmm (139)

***

Record 10
The following is a GGA-PBE calculation of crystalline Er4PtS5 at its relaxed geometry, from Alexandria via LeMat-Bulk.

Structure (extended XYZ):
```
10
Lattice="-3.595 -1.549 0.332 1.462 -1.726 7.768 -1.584 8.572 -0.399" Properties=species:S:1:pos:R:3 pbc="T T T"
Er -0.869 3.438 6.629
Er -4.088 5.711 5.617
Er -2.849 1.860 1.073
Er 0.371 -0.413 2.085
Pt -1.797 -0.775 0.166
S -3.102 3.337 5.217
S -3.912 4.305 0.965
S 0.195 0.993 6.737
S -1.067 -1.637 4.050
S -0.615 1.961 2.485
```

Results
Energy (eV/atom): -6.23
Space group: C2/m (12)

***

Record 11
The following is a GGA-PBE calculation of crystalline Li3Pr2AgGe4 at its relaxed geometry, from Alexandria via LeMat-Bulk.

Structure (extended XYZ):
```
10
Lattice="-1.892 3.723 -0.898 -2.546 -0.474 3.398 7.132 5.084 6.053" Properties=species:S:1:pos:R:3 pbc="T T T"
Li 3.566 2.542 3.027
Li 5.287 6.306 4.842
Li -0.374 0.403 2.461
Pr 0.770 3.085 1.008
Pr 4.143 3.624 6.295
Ag 1.347 4.167 4.276
Ge -2.219 1.625 1.250
Ge 0.000 0.000 0.000
Ge 3.646 5.136 3.449
Ge 1.267 1.573 3.854
```

Results
Space group: P-4m2 (115)
DFT formation energy (kcal/mol of atoms): -11.86

***

Record 12
The following is a GGA-PBE calculation of crystalline Sr3ZnH at its relaxed geometry, from Alexandria via LeMat-Bulk.

Structure (extended XYZ):
```
5
Lattice="5.360 0.000 0.000 0.000 5.360 0.000 0.000 0.000 5.360" Properties=species:S:1:pos:R:3 pbc="T T T"
Sr 0.000 2.680 0.000
Sr 0.000 0.000 2.680
Sr 2.680 0.000 0.000
Zn 2.680 2.680 2.680
H 0.000 0.000 0.000
```

Results
Energy (eV/atom): -2.03
Space group: Pm-3m (221)

***

Record 13
The following is a GGA-PBE calculation of crystalline Li2TaAg at its relaxed geometry, from Alexandria via LeMat-Bulk.

Structure (extended XYZ):
```
4
Lattice="-1.993 -2.453 -4.331 5.330 -0.278 0.512 -0.250 -2.241 1.384" Properties=species:S:1:pos:R:3 pbc="T T T"
Ag 2.540 -1.260 0.948
Li 0.000 0.000 0.000
Li 1.668 -1.366 -1.909
Ta -1.122 -2.347 -1.473
```

Results
Space group: Cmmm (65)
DFT formation energy (kcal/mol of atoms): 9.95

***

Record 14
The following is a GGA-PBE calculation of crystalline TbSm3Zn8 at its relaxed geometry, from Alexandria via LeMat-Bulk.

Structure (extended XYZ):
```
12
Lattice="-0.883 -0.902 5.381 3.428 -3.264 2.854 5.939 5.732 4.775" Properties=species:S:1:pos:R:3 pbc="T T T"
Tb 4.447 -1.506 8.994
Sm 6.154 3.457 7.267
Sm 5.936 5.729 4.774
Sm 4.248 0.792 6.508
Zn 1.796 -1.188 7.189
Zn 6.900 0.476 8.314
Zn 2.236 -0.738 4.505
Zn 6.459 0.026 10.996
Zn 3.076 1.728 3.633
Zn 7.316 2.508 10.138
Zn 3.946 -2.366 5.929
Zn 4.751 1.653 9.573
```

Results
Space group: R3m (160)
DFT formation energy (kcal/mol of atoms): -7.59

***

Record 15
The following is a GGA-PBE calculation of crystalline Sc2GaReNi at its relaxed geometry, from Alexandria via LeMat-Bulk.

Structure (extended XYZ):
```
5
Lattice="-2.179 1.248 4.046 3.756 -0.825 2.278 1.383 4.510 -0.647" Properties=species:S:1:pos:R:3 pbc="T T T"
Sc 0.691 2.255 -0.323
Sc -1.090 0.624 2.023
Re 1.878 -0.412 1.139
Ga 1.480 2.467 2.838
Ni 0.000 0.000 0.000
```

Results
Space group: P4/mmm (123)
DFT formation energy (kcal/mol of atoms): 8.24

***

Record 16
The following is a GGA-PBE calculation of crystalline Ba2LaTe at its relaxed geometry, from Alexandria via LeMat-Bulk.

Structure (extended XYZ):
```
4
Lattice="6.015 0.000 0.000 3.007 5.209 0.000 3.007 1.736 4.911" Properties=species:S:1:pos:R:3 pbc="T T T"
Ba 0.000 0.000 0.000
Ba 3.007 1.736 1.228
La 6.015 3.473 2.455
Te 9.022 5.209 3.683
```

Results
Energy (eV/atom): -3.24
Space group: F-43m (216)